CdNiHg2 (PBE, relaxed); space group = No. 65; total magnetic moment = 0.00 μB/cell; electronic total energy = -1.569 eV per atom; density = 12.337 g/cm³; formation energy = 0.26 eV per atom
1.0
6.0033 0.0000 0.0000
0.0000 7.7649 0.0000
0.0000 0.0000 3.3050
Cd Ni Hg
2 2 4
Direct
0.0000 0.0000 0.0000
0.5000 0.5000 0.0000
0.0000 0.5000 0.0000
0.5000 0.0000 0.0000
0.2500 0.2500 0.5000
0.2500 0.7500 0.5000
0.7500 0.2500 0.5000
0.7500 0.7500 0.5000